# 1
Here is crystalline BaIn2HgBi2 at its relaxed geometry from the Alexandria database. Energies are from PBE-GGA.

```
data_BaIn2HgBi2
_cell_length_a 7.188
_cell_length_b 12.872
_cell_length_c 4.815
_cell_angle_alpha 90.00
_cell_angle_beta 90.00
_cell_angle_gamma 90.00
_symmetry_space_group_name_H-M 'P n n m'
_symmetry_Int_Tables_number 58
_symmetry_space_group_name_Hall '-P 2 2n'
loop_
_atom_site_label
_atom_site_type_symbol
_atom_site_fract_x
_atom_site_fract_y
_atom_site_fract_z
Ba1 Ba 0.000 0.000 0.000
In1 In 0.230 0.318 0.000
Hg1 Hg 0.000 0.500 0.000
Bi1 Bi 0.161 0.184 0.500
```

***

# 2
Here is crystalline Ba3In2Hg5Bi2 at its relaxed geometry from the Alexandria database. Energies are from PBE-GGA.

```
data_Ba3In2Hg5Bi2
_cell_length_a 5.093
_cell_length_b 5.093
_cell_length_c 33.338
_cell_angle_alpha 90.00
_cell_angle_beta 90.00
_cell_angle_gamma 90.00
_symmetry_space_group_name_H-M 'I 4/m m m'
_symmetry_Int_Tables_number 139
_symmetry_space_group_name_Hall '-I 4 2'
loop_
_atom_site_label
_atom_site_type_symbol
_atom_site_fract_x
_atom_site_fract_y
_atom_site_fract_z
Ba1 Ba 0.000 0.000 0.000
Ba2 Ba 0.000 0.000 0.187
In1 In 0.000 0.000 0.379
Hg1 Hg 0.000 0.000 0.500
Hg2 Hg 0.000 0.500 0.074
Bi1 Bi 0.000 0.000 0.293
```

***

# 3
Here is crystalline BaIn2HgBi at its relaxed geometry from the Alexandria database. Energies are from PBE-GGA.

```
data_BaIn2HgBi
_cell_length_a 4.719
_cell_length_b 4.719
_cell_length_c 9.193
_cell_angle_alpha 90.00
_cell_angle_beta 90.00
_cell_angle_gamma 90.00
_symmetry_space_group_name_H-M 'P 4 m m'
_symmetry_Int_Tables_number 99
_symmetry_space_group_name_Hall 'P 4 -2'
loop_
_atom_site_label
_atom_site_type_symbol
_atom_site_fract_x
_atom_site_fract_y
_atom_site_fract_z
Ba1 Ba 0.000 0.000 0.000
In1 In 0.000 0.500 0.379
Hg1 Hg 0.000 0.000 0.627
Bi1 Bi 0.500 0.500 0.123
```

***

# 4
Here is crystalline Ba2InHg6Bi at its relaxed geometry from the Alexandria database. Energies are from PBE-GGA.

```
data_Ba2InHg6Bi
_cell_length_a 11.472
_cell_length_b 11.472
_cell_length_c 11.472
_cell_angle_alpha 90.00
_cell_angle_beta 90.00
_cell_angle_gamma 90.00
_symmetry_space_group_name_H-M 'F m -3 m'
_symmetry_Int_Tables_number 225
_symmetry_space_group_name_Hall '-F 4 2 3'
loop_
_atom_site_label
_atom_site_type_symbol
_atom_site_fract_x
_atom_site_fract_y
_atom_site_fract_z
Ba1 Ba 0.250 0.250 0.250
In1 In 0.000 0.000 0.000
Hg1 Hg 0.000 0.000 0.244
Bi1 Bi 0.000 0.000 0.500
```

***

# 5
Here is crystalline Ba2In3Hg4Bi at its relaxed geometry from the Alexandria database. Energies are from PBE-GGA.

```
data_Ba2In3Hg4Bi
_cell_length_a 5.079
_cell_length_b 5.079
_cell_length_c 12.085
_cell_angle_alpha 90.00
_cell_angle_beta 90.00
_cell_angle_gamma 90.00
_symmetry_space_group_name_H-M 'P -4 m 2'
_symmetry_Int_Tables_number 115
_symmetry_space_group_name_Hall 'P -4 -2'
loop_
_atom_site_label
_atom_site_type_symbol
_atom_site_fract_x
_atom_site_fract_y
_atom_site_fract_z
Ba1 Ba 0.000 0.500 0.242
In1 In 0.000 0.500 0.878
In2 In 0.500 0.500 0.500
Hg1 Hg 0.000 0.000 0.000
Hg2 Hg 0.000 0.500 0.646
Hg3 Hg 0.500 0.500 0.000
Bi1 Bi 0.000 0.000 0.500
```

***

# 6
Here is crystalline BaInHgBi at its relaxed geometry from the Alexandria database. Energies are from PBE-GGA.

```
data_BaInHgBi
_cell_length_a 9.154
_cell_length_b 5.295
_cell_length_c 6.114
_cell_angle_alpha 90.00
_cell_angle_beta 90.07
_cell_angle_gamma 90.00
_symmetry_space_group_name_H-M 'C 1 m 1'
_symmetry_Int_Tables_number 8
_symmetry_space_group_name_Hall 'C -2y'
loop_
_atom_site_label
_atom_site_type_symbol
_atom_site_fract_x
_atom_site_fract_y
_atom_site_fract_z
Ba1 Ba 0.000 0.000 0.000
In1 In 0.334 0.000 0.292
Hg1 Hg 0.334 0.000 0.761
Bi1 Bi 0.167 0.500 0.468
```

***

# 7
Here is crystalline BaInHg6Bi2 at its relaxed geometry from the Alexandria database. Energies are from PBE-GGA.

```
data_BaInHg6Bi2
_cell_length_a 9.993
_cell_length_b 12.467
_cell_length_c 10.109
_cell_angle_alpha 90.00
_cell_angle_beta 103.29
_cell_angle_gamma 90.00
_symmetry_space_group_name_H-M 'C 1 2/c 1'
_symmetry_Int_Tables_number 15
_symmetry_space_group_name_Hall '-C 2yc'
loop_
_atom_site_label
_atom_site_type_symbol
_atom_site_fract_x
_atom_site_fract_y
_atom_site_fract_z
Ba1 Ba 0.000 0.163 0.250
In1 In 0.000 0.480 0.250
Hg1 Hg 0.063 0.360 0.529
Hg2 Hg 0.136 0.072 0.927
Hg3 Hg 0.182 0.310 0.846
Bi1 Bi 0.195 0.116 0.637
```

***

# 8
Here is crystalline BaHg2BiIr at its relaxed geometry from the Alexandria database. Energies are from PBE-GGA.

```
data_BaHg2BiIr
_cell_length_a 5.329
_cell_length_b 5.329
_cell_length_c 5.414
_cell_angle_alpha 90.00
_cell_angle_beta 90.00
_cell_angle_gamma 90.00
_symmetry_space_group_name_H-M 'P 4/m m m'
_symmetry_Int_Tables_number 123
_symmetry_space_group_name_Hall '-P 4 2'
loop_
_atom_site_label
_atom_site_type_symbol
_atom_site_fract_x
_atom_site_fract_y
_atom_site_fract_z
Ba1 Ba 0.000 0.000 0.000
Hg1 Hg 0.000 0.500 0.500
Bi1 Bi 0.500 0.500 0.000
Ir1 Ir 0.500 0.500 0.500
```

***

# 9
Here is crystalline KBa2Hg2Bi2 at its relaxed geometry from the Alexandria database. Energies are from PBE-GGA.

```
data_KBa2Hg2Bi2
_cell_length_a 5.6770
_cell_length_b 5.6770
_cell_length_c 31.3108
_cell_angle_alpha 90.00
_cell_angle_beta 90.00
_cell_angle_gamma 120.00
_symmetry_space_group_name_H-M 'R -3 m'
_symmetry_Int_Tables_number 166
_symmetry_space_group_name_Hall '-R 3 2"'
loop_
_atom_site_label
_atom_site_type_symbol
_atom_site_fract_x
_atom_site_fract_y
_atom_site_fract_z
K1 K 0.0000 0.0000 0.0000
Ba1 Ba 0.0000 0.0000 0.1311
Hg1 Hg 0.0000 0.0000 0.4401
Bi1 Bi 0.0000 0.0000 0.2534
```

***

# 10
Here is crystalline KBa2Hg3Bi4 at its relaxed geometry from the Alexandria database. Energies are from PBE-GGA.

```
data_KBa2Hg3Bi4
_cell_length_a 5.013
_cell_length_b 5.013
_cell_length_c 14.707
_cell_angle_alpha 90.00
_cell_angle_beta 90.00
_cell_angle_gamma 90.00
_symmetry_space_group_name_H-M 'P -4 m 2'
_symmetry_Int_Tables_number 115
_symmetry_space_group_name_Hall 'P -4 -2'
loop_
_atom_site_label
_atom_site_type_symbol
_atom_site_fract_x
_atom_site_fract_y
_atom_site_fract_z
K1 K 0.000 0.000 0.000
Ba1 Ba 0.000 0.500 0.731
Hg1 Hg 0.000 0.500 0.369
Hg2 Hg 0.500 0.500 0.000
Bi1 Bi 0.000 0.000 0.500
Bi2 Bi 0.000 0.500 0.175
Bi3 Bi 0.500 0.500 0.500
```

***

# 11
Here is crystalline KBaHgBi at its relaxed geometry from the Alexandria database. Energies are from PBE-GGA.

```
data_KBaHgBi
_cell_length_a 8.477
_cell_length_b 8.477
_cell_length_c 8.477
_cell_angle_alpha 90.00
_cell_angle_beta 90.00
_cell_angle_gamma 90.00
_symmetry_space_group_name_H-M 'F -4 3 m'
_symmetry_Int_Tables_number 216
_symmetry_space_group_name_Hall 'F -4 2 3'
loop_
_atom_site_label
_atom_site_type_symbol
_atom_site_fract_x
_atom_site_fract_y
_atom_site_fract_z
K1 K 0.000 0.000 0.000
Ba1 Ba 0.000 0.000 0.500
Hg1 Hg 0.250 0.250 0.750
Bi1 Bi 0.250 0.250 0.250
```

***

# 12
Here is crystalline BaLi2Hg2Bi2 at its relaxed geometry from the Alexandria database. Energies are from PBE-GGA.

```
data_BaLi2Hg2Bi2
_cell_length_a 4.9438
_cell_length_b 4.9438
_cell_length_c 28.2583
_cell_angle_alpha 90.00
_cell_angle_beta 90.00
_cell_angle_gamma 120.00
_symmetry_space_group_name_H-M 'R -3 m'
_symmetry_Int_Tables_number 166
_symmetry_space_group_name_Hall '-R 3 2"'
loop_
_atom_site_label
_atom_site_type_symbol
_atom_site_fract_x
_atom_site_fract_y
_atom_site_fract_z
Ba1 Ba 0.0000 0.0000 0.0000
Li1 Li 0.0000 0.0000 0.1439
Hg1 Hg 0.0000 0.0000 0.4499
Bi1 Bi 0.0000 0.0000 0.2558
```

***

# 13
Here is crystalline Ba2LiHgBi6 at its relaxed geometry from the Alexandria database. Energies are from PBE-GGA.

```
data_Ba2LiHgBi6
_cell_length_a 9.093
_cell_length_b 10.233
_cell_length_c 7.568
_cell_angle_alpha 90.00
_cell_angle_beta 90.00
_cell_angle_gamma 90.00
_symmetry_space_group_name_H-M 'P m m n'
_symmetry_Int_Tables_number 59
loop_
_symmetry_equiv_pos_as_xyz
'x,y,z'
'-x,-y,-z'
'-x+1/2,-y+1/2,z'
'x+1/2,y+1/2,-z'
'x+1/2,-y,-z'
'-x+1/2,y,z'
'-x,y+1/2,-z'
'x,-y+1/2,z'
loop_
_atom_site_label
_atom_site_type_symbol
_atom_site_fract_x
_atom_site_fract_y
_atom_site_fract_z
Ba1 Ba 0.250 0.016 0.206
Li1 Li 0.250 0.250 0.569
Hg1 Hg 0.250 0.750 0.939
Bi1 Bi 0.036 0.750 0.543
Bi2 Bi 0.051 0.250 0.878
Bi3 Bi 0.250 0.518 0.688
```

***

# 14
Here is crystalline BaLiHgBi at its relaxed geometry from the Alexandria database. Energies are from PBE-GGA.

```
data_BaLiHgBi
_cell_length_a 8.029
_cell_length_b 8.029
_cell_length_c 8.029
_cell_angle_alpha 90.00
_cell_angle_beta 90.00
_cell_angle_gamma 90.00
_symmetry_space_group_name_H-M 'F -4 3 m'
_symmetry_Int_Tables_number 216
_symmetry_space_group_name_Hall 'F -4 2 3'
loop_
_atom_site_label
_atom_site_type_symbol
_atom_site_fract_x
_atom_site_fract_y
_atom_site_fract_z
Ba1 Ba 0.000 0.000 0.000
Li1 Li 0.000 0.000 0.500
Hg1 Hg 0.250 0.250 0.250
Bi1 Bi 0.250 0.250 0.750
```

***

# 15
Here is crystalline Ba2LiHg6Bi at its relaxed geometry from the Alexandria database. Energies are from PBE-GGA.

```
data_Ba2LiHg6Bi
_cell_length_a 5.178
_cell_length_b 6.458
_cell_length_c 9.822
_cell_angle_alpha 97.77
_cell_angle_beta 90.20
_cell_angle_gamma 113.19
_symmetry_space_group_name_H-M 'P -1'
_symmetry_Int_Tables_number 2
_symmetry_space_group_name_Hall '-P 1'
loop_
_atom_site_label
_atom_site_type_symbol
_atom_site_fract_x
_atom_site_fract_y
_atom_site_fract_z
Ba1 Ba 0.200 0.399 0.175
Li1 Li 0.000 0.000 0.500
Hg1 Hg 0.102 0.201 0.814
Hg2 Hg 0.234 0.468 0.566
Hg3 Hg 0.493 0.980 0.653
Bi1 Bi 0.500 0.000 0.000
```

***

# 16
Here is crystalline BaLiHg4Bi2 at its relaxed geometry from the Alexandria database. Energies are from PBE-GGA.

```
data_BaLiHg4Bi2
_cell_length_a 5.3378
_cell_length_b 5.3378
_cell_length_c 28.1732
_cell_angle_alpha 90.00
_cell_angle_beta 90.00
_cell_angle_gamma 120.00
_symmetry_space_group_name_H-M 'R -3 m'
_symmetry_Int_Tables_number 166
_symmetry_space_group_name_Hall '-R 3 2"'
loop_
_atom_site_label
_atom_site_type_symbol
_atom_site_fract_x
_atom_site_fract_y
_atom_site_fract_z
Ba1 Ba 0.0000 0.0000 0.0000
Li1 Li 0.0000 0.0000 0.5000
Hg1 Hg 0.0000 0.0000 0.1297
Hg2 Hg 0.0000 0.0000 0.3883
Bi1 Bi 0.0000 0.0000 0.2409
```

***

# 17
Here is crystalline Ba3Li2Hg2Bi4 at its relaxed geometry from the Alexandria database. Energies are from PBE-GGA.

```
data_Ba3Li2Hg2Bi4
_cell_length_a 5.2109
_cell_length_b 5.2109
_cell_length_c 16.5055
_cell_angle_alpha 90.00
_cell_angle_beta 90.00
_cell_angle_gamma 120.00
_symmetry_space_group_name_H-M 'P -3 m 1'
_symmetry_Int_Tables_number 164
_symmetry_space_group_name_Hall '-P 3 2"'
loop_
_atom_site_label
_atom_site_type_symbol
_atom_site_fract_x
_atom_site_fract_y
_atom_site_fract_z
Ba1 Ba 0.0000 0.0000 0.0000
Ba2 Ba 0.0000 0.0000 0.2879
Li1 Li 0.3333 0.6667 0.5687
Hg1 Hg 0.3333 0.6667 0.1843
Bi1 Bi 0.3333 0.6667 0.3868
Bi2 Bi 0.3333 0.6667 0.8727
```

***

# 18
Here is crystalline Ba2MgHg3Bi4 at its relaxed geometry from the Alexandria database. Energies are from PBE-GGA.

```
data_Ba2MgHg3Bi4
_cell_length_a 4.799
_cell_length_b 4.799
_cell_length_c 14.612
_cell_angle_alpha 90.00
_cell_angle_beta 90.00
_cell_angle_gamma 90.00
_symmetry_space_group_name_H-M 'P -4 m 2'
_symmetry_Int_Tables_number 115
_symmetry_space_group_name_Hall 'P -4 -2'
loop_
_atom_site_label
_atom_site_type_symbol
_atom_site_fract_x
_atom_site_fract_y
_atom_site_fract_z
Ba1 Ba 0.000 0.500 0.244
Mg1 Mg 0.000 0.000 0.500
Hg1 Hg 0.000 0.500 0.850
Hg2 Hg 0.500 0.500 0.500
Bi1 Bi 0.000 0.000 0.000
Bi2 Bi 0.000 0.500 0.635
Bi3 Bi 0.500 0.500 0.000
```

***

# 19
Here is crystalline Ba2NaHg6Bi at its relaxed geometry from the Alexandria database. Energies are from PBE-GGA.

```
data_Ba2NaHg6Bi
_cell_length_a 11.401
_cell_length_b 11.401
_cell_length_c 11.401
_cell_angle_alpha 90.00
_cell_angle_beta 90.00
_cell_angle_gamma 90.00
_symmetry_space_group_name_H-M 'F m -3 m'
_symmetry_Int_Tables_number 225
_symmetry_space_group_name_Hall '-F 4 2 3'
loop_
_atom_site_label
_atom_site_type_symbol
_atom_site_fract_x
_atom_site_fract_y
_atom_site_fract_z
Ba1 Ba 0.250 0.250 0.250
Na1 Na 0.000 0.000 0.000
Hg1 Hg 0.000 0.000 0.241
Bi1 Bi 0.000 0.000 0.500
```

***

# 20
Here is crystalline Ba2NaHg3Bi4 at its relaxed geometry from the Alexandria database. Energies are from PBE-GGA.

```
data_Ba2NaHg3Bi4
_cell_length_a 4.964
_cell_length_b 4.964
_cell_length_c 13.949
_cell_angle_alpha 90.00
_cell_angle_beta 90.00
_cell_angle_gamma 90.00
_symmetry_space_group_name_H-M 'P -4 m 2'
_symmetry_Int_Tables_number 115
_symmetry_space_group_name_Hall 'P -4 -2'
loop_
_atom_site_label
_atom_site_type_symbol
_atom_site_fract_x
_atom_site_fract_y
_atom_site_fract_z
Ba1 Ba 0.000 0.500 0.247
Na1 Na 0.000 0.000 0.500
Hg1 Hg 0.000 0.500 0.857
Hg2 Hg 0.500 0.500 0.500
Bi1 Bi 0.000 0.000 0.000
Bi2 Bi 0.000 0.500 0.646
Bi3 Bi 0.500 0.500 0.000
```

***

Number 1: formation energy from the elements -1.535 eV per formula unit, M_tot 0.00 μB/f.u., mass density 7346 kg/m3. Number 2: formation energy from the elements -4.270 eV per formula unit, M_tot 0.00 μB/f.u., mass density 7921 kg/m3. Number 3: formation energy from the elements -1.305 eV per formula unit, M_tot 0.00 μB/f.u., mass density 6298 kg/m3. Number 4: formation energy from the elements -1.113 eV per formula unit, M_tot 0.00 μB/f.u., mass density 7928 kg/m3. Number 5: formation energy from the elements -3.795 eV per formula unit, M_tot 0.00 μB/f.u., mass density 8686 kg/m3. Number 6: formation energy from the elements -1.493 eV per formula unit, M_tot 0.00 μB/f.u., mass density 7416 kg/m3. Number 7: formation energy from the elements -1.502 eV per formula unit, M_tot 0.00 μB/f.u., mass density 10153 kg/m3. Number 8: formation energy from the elements -0.837 eV per formula unit, M_tot 0.00 μB/f.u., mass density 10149 kg/m3. Number 9: formation energy from the elements -3.209 eV per formula unit, M_tot 0.00 μB/f.u., mass density 6458 kg/m3. Number 10: formation energy from the elements -4.277 eV per formula unit, M_tot 0.00 μB/f.u., mass density 7869 kg/m3. Number 11: formation energy from the elements -2.488 eV per formula unit, M_tot 0.00 μB/f.u., mass density 6389 kg/m3. Number 12: formation energy from the elements -3.354 eV per formula unit, M_tot 0.00 μB/f.u., mass density 8082 kg/m3. Number 13: formation energy from the elements -3.733 eV per formula unit, M_tot 0.00 μB/f.u., mass density 8187 kg/m3. Number 14: formation energy from the elements -2.316 eV per formula unit, M_tot 0.00 μB/f.u., mass density 7107 kg/m3. Number 15: formation energy from the elements -4.115 eV per formula unit, M_tot 0.00 μB/f.u., mass density 9422 kg/m3. Number 16: formation energy from the elements -2.385 eV per formula unit, M_tot 0.00 μB/f.u., mass density 9779 kg/m3. Number 17: formation energy from the elements -6.384 eV per formula unit, M_tot 0.00 μB/f.u., mass density 7114 kg/m3. Number 18: formation energy from the elements -4.084 eV per formula unit, M_tot 0.00 μB/f.u., mass density 8571 kg/m3. Number 19: formation energy from the elements -1.351 eV per formula unit, M_tot 0.00 μB/f.u., mass density 7665 kg/m3. Number 20: formation energy from the elements -4.272 eV per formula unit, M_tot 0.00 μB/f.u., mass density 8382 kg/m3.